Entry 1:
# La5NdSm2Tl | Alexandria | PBE | relaxed
data_La5NdSm2Tl
_symmetry_space_group_name_H-M 'P 1'
_symmetry_Int_Tables_number 1
_symmetry_space_group_name_Hall 'P 1'
_cell_length_a 10.547
_cell_length_b 10.547
_cell_length_c 11.119
_cell_angle_alpha 90.00
_cell_angle_beta 90.00
_cell_angle_gamma 148.73
loop_
_atom_site_label
_atom_site_type_symbol
_atom_site_fract_x
_atom_site_fract_y
_atom_site_fract_z
La1 La 0.000 0.000 0.000
La2 La 0.000 0.000 0.500
La3 La 0.122 0.878 0.751
La4 La 0.210 0.790 0.452
La5 La 0.212 0.788 0.052
La6 La 0.490 0.510 0.751
La7 La 0.510 0.490 0.251
La8 La 0.788 0.212 0.552
La9 La 0.790 0.210 0.952
La10 La 0.878 0.122 0.251
Nd1 Nd 0.308 0.692 0.752
Nd2 Nd 0.692 0.308 0.252
Sm1 Sm 0.383 0.617 0.456
Sm2 Sm 0.384 0.616 0.047
Sm3 Sm 0.616 0.384 0.547
Sm4 Sm 0.617 0.383 0.956
Tl1 Tl 0.092 0.908 0.249
Tl2 Tl 0.908 0.092 0.749
# Symmetry = Cmc2_1 (36)
# Energy relative to the elements = -0.002 eV per atom

Entry 2:
# Pr3ScO6 | Alexandria | PBE | relaxed
data_Pr3ScO6
_symmetry_space_group_name_H-M 'P 1'
_symmetry_Int_Tables_number 1
_symmetry_space_group_name_Hall 'P 1'
_cell_length_a 6.889
_cell_length_b 6.889
_cell_length_c 6.889
_cell_angle_alpha 92.39
_cell_angle_beta 92.39
_cell_angle_gamma 92.39
loop_
_atom_site_label
_atom_site_type_symbol
_atom_site_fract_x
_atom_site_fract_y
_atom_site_fract_z
Pr1 Pr 0.062 0.754 0.568
Pr2 Pr 0.246 0.432 0.938
Pr3 Pr 0.432 0.938 0.246
Pr4 Pr 0.568 0.062 0.754
Pr5 Pr 0.754 0.568 0.062
Pr6 Pr 0.938 0.246 0.432
Sc1 Sc 0.000 0.000 0.000
Sc2 Sc 0.500 0.500 0.500
O1 O 0.040 0.703 0.912
O2 O 0.088 0.960 0.297
O3 O 0.201 0.435 0.581
O4 O 0.297 0.088 0.960
O5 O 0.419 0.799 0.565
O6 O 0.435 0.581 0.201
O7 O 0.565 0.419 0.799
O8 O 0.581 0.201 0.435
O9 O 0.703 0.912 0.040
O10 O 0.799 0.565 0.419
O11 O 0.912 0.040 0.703
O12 O 0.960 0.297 0.088
# Excess energy over the best structure of this formula in the dataset = 0.0 kJ/mol of formula units
# Symmetry = R-3 (148)
# ΔE_f (raw) = -3.377 eV/atom

Entry 3:
# NpCrB | Alexandria | PBE | relaxed
data_NpCrB
_symmetry_space_group_name_H-M 'P 1'
_symmetry_Int_Tables_number 1
_symmetry_space_group_name_Hall 'P 1'
_cell_length_a 4.101
_cell_length_b 4.016
_cell_length_c 9.201
_cell_angle_alpha 90.00
_cell_angle_beta 97.16
_cell_angle_gamma 90.00
loop_
_atom_site_label
_atom_site_type_symbol
_atom_site_fract_x
_atom_site_fract_y
_atom_site_fract_z
Np1 Np 0.076 0.000 0.379
Np2 Np 0.424 0.500 0.621
Np3 Np 0.576 0.500 0.379
Np4 Np 0.924 0.000 0.621
Cr1 Cr 0.216 0.000 0.902
Cr2 Cr 0.284 0.500 0.098
Cr3 Cr 0.716 0.500 0.902
Cr4 Cr 0.784 0.000 0.098
B1 B 0.198 0.500 0.859
B2 B 0.302 0.000 0.141
B3 B 0.698 0.000 0.859
B4 B 0.802 0.500 0.141
# Symmetry = C2/m (12)
# Energy relative to the elements = 0.019 eV per atom

Entry 4:
# MgZrPb2 | Alexandria | PBE | relaxed
data_MgZrPb2
_symmetry_space_group_name_H-M 'P 1'
_symmetry_Int_Tables_number 1
_symmetry_space_group_name_Hall 'P 1'
_cell_length_a 4.495
_cell_length_b 4.495
_cell_length_c 18.894
_cell_angle_alpha 90.00
_cell_angle_beta 90.00
_cell_angle_gamma 120.00
loop_
_atom_site_label
_atom_site_type_symbol
_atom_site_fract_x
_atom_site_fract_y
_atom_site_fract_z
Mg1 Mg 0.000 0.000 0.000
Mg2 Mg 0.333 0.667 0.667
Mg3 Mg 0.667 0.333 0.333
Zr1 Zr 0.000 0.000 0.175
Zr2 Zr 0.333 0.667 0.842
Zr3 Zr 0.667 0.333 0.509
Pb1 Pb 0.000 0.000 0.588
Pb2 Pb 0.000 0.000 0.759
Pb3 Pb 0.333 0.667 0.255
Pb4 Pb 0.333 0.667 0.425
Pb5 Pb 0.667 0.333 0.092
Pb6 Pb 0.667 0.333 0.921
# Symmetry = R3m (160)
# Energy relative to the elements = 0.067 eV per atom

| no. | calculated volume (A^3/atom) |
| --- | --- |
| 1 | 35.66 |
| 2 | 16.30 |
| 3 | 12.53 |
| 4 | 27.55 |